## i
AgHg2 at its PBEsol-relaxed geometry. Source: Alexandria via LeMat-Bulk, functional SCAN.

crystal system	cubic

Lattice parameters (Å, degrees): 12.606 12.606 12.606 90.00 90.00 90.00
Space group Fd-3m (No. 227, origin choice 2)
Symmetry-distinct sites (fractional):
Ag  0.035  0.035  0.215 [32 per cell]
Hg  0.000  0.000  0.000 [16 per cell]
Hg  0.058  0.375  0.875 [48 per cell]



## ii
AgHg2 at its PBEsol-relaxed geometry. Source: Alexandria via LeMat-Bulk, functional SCAN.

crystal system	trigonal

Lattice parameters (Å, degrees): 3.1210 3.1210 7.1839 90.00 90.00 120.00
Space group P-3m1 (No. 164)
Symmetry-distinct sites (fractional):
Ag  0.0000  0.0000  0.0000 [1 per cell]
Hg  0.3333  0.6667  0.6796 [2 per cell]



Most stable to least stable: ii, i